No. 1
Compound: K3FePd
Source: Alexandria
Functional: PBE-GGA
Structure: relaxed

Cell and atoms, written as CIF:
```
data_K3FePd
_symmetry_space_group_name_H-M 'P 1'
_symmetry_Int_Tables_number 1
_symmetry_space_group_name_Hall 'P 1'
_cell_length_a 6.169
_cell_length_b 6.169
_cell_length_c 6.169
_cell_angle_alpha 90.00
_cell_angle_beta 90.00
_cell_angle_gamma 90.00
loop_
_atom_site_label
_atom_site_type_symbol
_atom_site_fract_x
_atom_site_fract_y
_atom_site_fract_z
_atom_site_occupancy
K1 K 0.000 0.500 0.000 1
K2 K 0.500 0.000 0.000 1
K3 K 0.000 0.000 0.500 1
Fe1 Fe 0.500 0.500 0.500 1
Pd1 Pd 0.000 0.000 0.000 1
```

## Properties
- N(E_F) (states/eV/atom) = 10.28

No. 2
Compound: Cu3AgB
Source: Alexandria
Functional: PBE-GGA
Structure: relaxed

Cell and atoms, written as CIF:
```
data_Cu3AgB
_symmetry_space_group_name_H-M 'P 1'
_symmetry_Int_Tables_number 1
_symmetry_space_group_name_Hall 'P 1'
_cell_length_a 4.717
_cell_length_b 4.717
_cell_length_c 4.717
_cell_angle_alpha 90.00
_cell_angle_beta 90.00
_cell_angle_gamma 90.00
loop_
_atom_site_label
_atom_site_type_symbol
_atom_site_fract_x
_atom_site_fract_y
_atom_site_fract_z
_atom_site_occupancy
Cu1 Cu 0.000 0.500 0.000 1
Cu2 Cu 0.000 0.000 0.500 1
Cu3 Cu 0.500 0.000 0.000 1
B1 B 0.500 0.500 0.500 1
Ag1 Ag 0.000 0.000 0.000 1
```

## Properties
- N(E_F) (states/eV/atom) = 0.34

No. 3
Compound: Re2PbCl
Source: Alexandria
Functional: PBE-GGA
Structure: relaxed

Cell and atoms, written as CIF:
```
data_Re2PbCl
_symmetry_space_group_name_H-M 'P 1'
_symmetry_Int_Tables_number 1
_symmetry_space_group_name_Hall 'P 1'
_cell_length_a 3.273
_cell_length_b 4.616
_cell_length_c 4.616
_cell_angle_alpha 90.00
_cell_angle_beta 90.00
_cell_angle_gamma 90.00
loop_
_atom_site_label
_atom_site_type_symbol
_atom_site_fract_x
_atom_site_fract_y
_atom_site_fract_z
_atom_site_occupancy
Re1 Re 0.000 0.000 0.000 1
Re2 Re 0.000 0.500 0.500 1
Cl1 Cl 0.500 0.500 0.000 1
Pb1 Pb 0.500 0.000 0.500 1
```

## Properties
- N(E_F) (states/eV/atom) = 0.73

No. 4
Compound: LiIn4Fe
Source: Alexandria
Functional: PBE-GGA
Structure: relaxed

Cell and atoms, written as CIF:
```
data_LiIn4Fe
_symmetry_space_group_name_H-M 'P 1'
_symmetry_Int_Tables_number 1
_symmetry_space_group_name_Hall 'P 1'
_cell_length_a 5.912
_cell_length_b 5.912
_cell_length_c 5.912
_cell_angle_alpha 60.00
_cell_angle_beta 60.00
_cell_angle_gamma 60.00
loop_
_atom_site_label
_atom_site_type_symbol
_atom_site_fract_x
_atom_site_fract_y
_atom_site_fract_z
_atom_site_occupancy
In1 In 0.875 0.375 0.375 1
In2 In 0.375 0.375 0.375 1
In3 In 0.375 0.375 0.875 1
In4 In 0.375 0.875 0.375 1
Fe1 Fe 0.000 0.000 0.000 1
Li1 Li 0.750 0.750 0.750 1
```

## Properties
- N(E_F) (states/eV/atom) = 1.27

No. 5
Compound: Mg3Cu8Sn
Source: Alexandria
Functional: PBE-GGA
Structure: relaxed

Cell and atoms, written as CIF:
```
data_Mg3Cu8Sn
_symmetry_space_group_name_H-M 'P 1'
_symmetry_Int_Tables_number 1
_symmetry_space_group_name_Hall 'P 1'
_cell_length_a 5.029
_cell_length_b 5.029
_cell_length_c 8.025
_cell_angle_alpha 90.00
_cell_angle_beta 90.00
_cell_angle_gamma 120.00
loop_
_atom_site_label
_atom_site_type_symbol
_atom_site_fract_x
_atom_site_fract_y
_atom_site_fract_z
_atom_site_occupancy
Cu1 Cu 0.995 0.497 0.753 1
Cu2 Cu 0.503 0.005 0.753 1
Cu3 Cu 0.164 0.328 0.248 1
Cu4 Cu 0.333 0.667 0.498 1
Cu5 Cu 0.164 0.836 0.248 1
Cu6 Cu 0.333 0.667 0.002 1
Cu7 Cu 0.672 0.836 0.248 1
Cu8 Cu 0.503 0.497 0.753 1
Sn1 Sn 0.000 0.000 0.562 1
Mg1 Mg 0.667 0.333 0.434 1
Mg2 Mg 0.000 0.000 0.942 1
Mg3 Mg 0.667 0.333 0.061 1
```

## Properties
- N(E_F) (states/eV/atom) = 0.35

No. 6
Compound: La4Hg3Pb2
Source: Alexandria
Functional: PBE-GGA
Structure: relaxed

Cell and atoms, written as CIF:
```
data_La4Hg3Pb2
_symmetry_space_group_name_H-M 'P 1'
_symmetry_Int_Tables_number 1
_symmetry_space_group_name_Hall 'P 1'
_cell_length_a 5.254
_cell_length_b 5.255
_cell_length_c 11.678
_cell_angle_alpha 89.98
_cell_angle_beta 90.01
_cell_angle_gamma 60.00
loop_
_atom_site_label
_atom_site_type_symbol
_atom_site_fract_x
_atom_site_fract_y
_atom_site_fract_z
_atom_site_occupancy
La1 La 0.667 0.667 0.890 1
La2 La 0.333 0.333 0.110 1
La3 La 0.000 0.000 0.650 1
La4 La 0.000 0.000 0.350 1
Hg1 Hg 0.667 0.667 0.514 1
Hg2 Hg 0.000 0.000 0.000 1
Hg3 Hg 0.333 0.333 0.486 1
Pb1 Pb 0.333 0.334 0.784 1
Pb2 Pb 0.667 0.666 0.216 1
```

## Properties
- N(E_F) (states/eV/atom) = 0.98

No. 7
Compound: CrCd2Au
Source: Alexandria
Functional: PBE-GGA
Structure: relaxed

Cell and atoms, written as CIF:
```
data_CrCd2Au
_symmetry_space_group_name_H-M 'P 1'
_symmetry_Int_Tables_number 1
_symmetry_space_group_name_Hall 'P 1'
_cell_length_a 3.570
_cell_length_b 3.570
_cell_length_c 6.011
_cell_angle_alpha 90.00
_cell_angle_beta 90.00
_cell_angle_gamma 90.00
loop_
_atom_site_label
_atom_site_type_symbol
_atom_site_fract_x
_atom_site_fract_y
_atom_site_fract_z
_atom_site_occupancy
Au1 Au 0.500 0.500 0.750 1
Cd1 Cd 0.000 0.000 0.497 1
Cd2 Cd 0.000 0.000 0.003 1
Cr1 Cr 0.500 0.500 0.250 1
```

## Properties
- N(E_F) (states/eV/atom) = 0.53

No. 8
Compound: TiPdO4
Source: Alexandria
Functional: PBE-GGA
Structure: relaxed

Cell and atoms, written as CIF:
```
data_TiPdO4
_symmetry_space_group_name_H-M 'P 1'
_symmetry_Int_Tables_number 1
_symmetry_space_group_name_Hall 'P 1'
_cell_length_a 5.561
_cell_length_b 5.561
_cell_length_c 5.561
_cell_angle_alpha 107.56
_cell_angle_beta 107.56
_cell_angle_gamma 113.37
loop_
_atom_site_label
_atom_site_type_symbol
_atom_site_fract_x
_atom_site_fract_y
_atom_site_fract_z
_atom_site_occupancy
O1 O 0.315 0.508 0.807 1
O2 O 0.258 0.952 0.693 1
O3 O 0.795 0.990 0.805 1
O4 O 0.702 0.508 0.193 1
O5 O 0.186 0.990 0.195 1
O6 O 0.740 0.436 0.695 1
O7 O 0.258 0.565 0.307 1
O8 O 0.740 0.045 0.305 1
Pd1 Pd 0.246 0.246 0.000 1
Pd2 Pd 0.996 0.496 0.500 1
Ti1 Ti 0.757 0.757 0.000 1
Ti2 Ti 0.507 0.007 0.500 1
```

What did we get for E_tot? Answer: -13.0; -12.7; -24.0; -18.6; -43.1; -32.4; -14.2; -85.3 eV per cell, in the order shown.